SCAN KTa2Ru, PBEsol geometry; calculated volume = 18.19 Å³ per atom; energy relative to the elements = 131.80 kJ/mol of atoms; crystal system = cubic; SG = F-43m, No. 216; uncorrected energy = -42.71 eV/atom; total magnetization = 0.00 μB per cell
1.0
6.6275 0.0000 0.0000
0.0000 6.6275 0.0000
0.0000 0.0000 6.6275
K Ta Ru
4 8 4
Direct
0.0000 0.0000 0.0000 K
0.0000 0.5000 0.5000 K
0.5000 0.0000 0.5000 K
0.5000 0.5000 0.0000 K
0.0000 0.0000 0.5000 Ta
0.0000 0.5000 0.0000 Ta
0.2500 0.2500 0.2500 Ta
0.2500 0.7500 0.7500 Ta
0.5000 0.0000 0.0000 Ta
0.5000 0.5000 0.5000 Ta
0.7500 0.2500 0.7500 Ta
0.7500 0.7500 0.2500 Ta
0.2500 0.2500 0.7500 Ru
0.2500 0.7500 0.2500 Ru
0.7500 0.2500 0.2500 Ru
0.7500 0.7500 0.7500 Ru

SCAN AlHgMo2, PBEsol geometry; calculated volume = 16.37 Å³ per atom; energy relative to the elements = 29.72 kJ/mol of atoms; crystal system = trigonal; SG = R-3m, No. 166; uncorrected energy = -36.11 eV/atom; total magnetization = 0.00 μB per cell
1.0
2.8473 0.0000 0.0000
-1.4236 2.4658 0.0000
0.0000 0.0000 27.9761
Al Hg Mo
3 3 6
Direct
0.0000 0.0000 0.0000 Al
0.3333 0.6667 0.6667 Al
0.6667 0.3333 0.3333 Al
0.0000 0.0000 0.5000 Hg
0.3333 0.6667 0.1667 Hg
0.6667 0.3333 0.8333 Hg
0.0000 0.0000 0.2539 Mo
0.0000 0.0000 0.7461 Mo
0.3333 0.6667 0.4128 Mo
0.3333 0.6667 0.9206 Mo
0.6667 0.3333 0.0794 Mo
0.6667 0.3333 0.5872 Mo

SCAN Ca3Ag5, PBEsol geometry; calculated volume = 21.99 Å³ per atom; energy relative to the elements = -19.22 kJ/mol of atoms; crystal system = orthorhombic; SG = Cmmm, No. 65; uncorrected energy = -23.43 eV/atom; total magnetization = 0.00 μB per cell
1.0
7.2354 0.0000 0.0000
0.0000 9.6256 0.0000
0.0000 0.0000 5.0518
Ca Ag
6 10
Direct
0.0000 0.0000 0.0000 Ca
0.0000 0.2879 0.5000 Ca
0.0000 0.7121 0.5000 Ca
0.5000 0.2121 0.5000 Ca
0.5000 0.5000 0.0000 Ca
0.5000 0.7879 0.5000 Ca
0.0000 0.5000 0.0000 Ag
0.2044 0.0000 0.5000 Ag
0.2500 0.2500 0.0000 Ag
0.2500 0.7500 0.0000 Ag
0.2956 0.5000 0.5000 Ag
0.5000 0.0000 0.0000 Ag
0.7044 0.5000 0.5000 Ag
0.7500 0.2500 0.0000 Ag
0.7500 0.7500 0.0000 Ag
0.7956 0.0000 0.5000 Ag

SCAN LiTlAg2As, PBEsol geometry; calculated volume = 26.94 Å³ per atom; energy relative to the elements = 25.38 kJ/mol of atoms; crystal system = tetragonal; SG = P4/mmm, No. 123; uncorrected energy = -31.27 eV/atom; total magnetization = 0.00 μB per cell
1.0
4.8021 0.0000 0.0000
0.0000 4.8021 0.0000
0.0000 0.0000 5.8404
Li Tl Ag As
1 1 2 1
Direct
0.0000 0.0000 0.0000 Li
0.5000 0.5000 0.0000 Tl
0.0000 0.5000 0.5000 Ag
0.5000 0.0000 0.5000 Ag
0.5000 0.5000 0.5000 As

SCAN AsPAuBr2, PBEsol geometry; calculated volume = 23.25 Å³ per atom; crystal system = tetragonal; SG = P4/mmm, No. 123; uncorrected energy = -27.01 eV/atom; total magnetization = 0.00 μB per cell; E_form (uncorrected) = 0.720 eV/atom
1.0
4.7727 0.0000 0.0000
0.0000 4.7727 0.0000
0.0000 0.0000 5.1034
As P Au Br
1 1 1 2
Direct
0.0000 0.0000 0.0000 As
0.0000 0.0000 0.5000 P
0.5000 0.5000 0.0000 Au
0.0000 0.5000 0.5000 Br
0.5000 0.0000 0.5000 Br

SCAN Sc3HRu, PBEsol geometry; calculated volume = 15.33 Å³ per atom; crystal system = cubic; SG = Pm-3m, No. 221; uncorrected energy = -16.46 eV/atom; total magnetization = 0.00 μB per cell
1.0
4.2483 0.0000 0.0000
0.0000 4.2483 0.0000
0.0000 0.0000 4.2483
Sc H Ru
3 1 1
Direct
0.0000 0.0000 0.5000 Sc
0.0000 0.5000 0.0000 Sc
0.5000 0.0000 0.0000 Sc
0.0000 0.0000 0.0000 H
0.5000 0.5000 0.5000 Ru

SCAN Li3Cu, PBEsol geometry; calculated volume = 16.40 Å³ per atom; energy relative to the elements = 4.66 kJ/mol of atoms; crystal system = orthorhombic; SG = Pnma, No. 62; uncorrected energy = -5.54 eV/atom; total magnetization = 0.00 μB per cell
1.0
6.8600 0.0000 0.0000
0.0000 7.6454 0.0000
0.0000 0.0000 5.0028
Li Cu
12 4
Direct
0.0283 0.2500 0.1005 Li
0.1827 0.0535 0.6168 Li
0.1827 0.4465 0.6168 Li
0.3173 0.5535 0.1168 Li
0.3173 0.9465 0.1168 Li
0.4717 0.7500 0.6005 Li
0.5283 0.2500 0.3995 Li
0.6827 0.0535 0.8832 Li
0.6827 0.4465 0.8832 Li
0.8173 0.5535 0.3832 Li
0.8173 0.9465 0.3832 Li
0.9717 0.7500 0.8995 Li
0.1138 0.7500 0.4119 Cu
0.3862 0.2500 0.9119 Cu
0.6138 0.7500 0.0881 Cu
0.8862 0.2500 0.5881 Cu

SCAN Sc2Pt2Au, PBEsol geometry; calculated volume = 19.28 Å³ per atom; energy relative to the elements = -97.95 kJ/mol of atoms; crystal system = tetragonal; SG = I4/mmm, No. 139; uncorrected energy = -48.62 eV/atom; total magnetization = 0.00 μB per cell
1.0
3.7325 0.0000 0.0000
0.0000 3.7325 0.0000
0.0000 0.0000 13.8377
Sc Pt Au
4 4 2
Direct
0.0000 0.0000 0.1111 Sc
0.0000 0.0000 0.8889 Sc
0.5000 0.5000 0.3889 Sc
0.5000 0.5000 0.6111 Sc
0.0000 0.5000 0.2500 Pt
0.0000 0.5000 0.7500 Pt
0.5000 0.0000 0.2500 Pt
0.5000 0.0000 0.7500 Pt
0.0000 0.0000 0.5000 Au
0.5000 0.5000 0.0000 Au

SCAN La2AgMo, PBEsol geometry; calculated volume = 21.93 Å³ per atom; energy relative to the elements = 39.76 kJ/mol of atoms; crystal system = cubic; SG = F-43m, No. 216; uncorrected energy = -37.70 eV/atom; total magnetization = 10.69 μB per cell
1.0
7.0531 0.0000 0.0000
0.0000 7.0531 0.0000
0.0000 0.0000 7.0531
La Ag Mo
8 4 4
Direct
0.0000 0.0000 0.0000 La
0.0000 0.5000 0.5000 La
0.2500 0.2500 0.2500 La
0.2500 0.7500 0.7500 La
0.5000 0.0000 0.5000 La
0.5000 0.5000 0.0000 La
0.7500 0.2500 0.7500 La
0.7500 0.7500 0.2500 La
0.2500 0.2500 0.7500 Ag
0.2500 0.7500 0.2500 Ag
0.7500 0.2500 0.2500 Ag
0.7500 0.7500 0.7500 Ag
0.0000 0.0000 0.5000 Mo
0.0000 0.5000 0.0000 Mo
0.5000 0.0000 0.0000 Mo
0.5000 0.5000 0.5000 Mo

SCAN Li2PdPb, PBEsol geometry; calculated volume = 16.58 Å³ per atom; energy relative to the elements = -49.61 kJ/mol of atoms; crystal system = cubic; SG = F-43m, No. 216; uncorrected energy = -28.85 eV/atom; total magnetization = 0.00 μB per cell
1.0
6.4255 0.0000 0.0000
0.0000 6.4255 0.0000
0.0000 0.0000 6.4255
Li Pd Pb
8 4 4
Direct
0.0000 0.0000 0.0000 Li
0.0000 0.5000 0.5000 Li
0.2500 0.2500 0.2500 Li
0.2500 0.7500 0.7500 Li
0.5000 0.0000 0.5000 Li
0.5000 0.5000 0.0000 Li
0.7500 0.2500 0.7500 Li
0.7500 0.7500 0.2500 Li
0.0000 0.0000 0.5000 Pd
0.0000 0.5000 0.0000 Pd
0.5000 0.0000 0.0000 Pd
0.5000 0.5000 0.5000 Pd
0.2500 0.2500 0.7500 Pb
0.2500 0.7500 0.2500 Pb
0.7500 0.2500 0.2500 Pb
0.7500 0.7500 0.7500 Pb

SCAN IrC, PBEsol geometry; calculated volume = 13.17 Å³ per atom; energy relative to the elements = 74.28 kJ/mol of atoms; crystal system = hexagonal; SG = P6_3/mmc, No. 194; uncorrected energy = -39.83 eV/atom; total magnetization = 0.00 μB per cell
1.0
3.3126 0.0000 0.0000
-1.6563 2.8688 0.0000
0.0000 0.0000 5.5445
Ir C
2 2
Direct
0.0000 0.0000 0.2500 Ir
0.0000 0.0000 0.7500 Ir
0.3333 0.6667 0.2500 C
0.6667 0.3333 0.7500 C

SCAN Li3Ti3VO8, PBEsol geometry; calculated volume = 9.42 Å³ per atom; crystal system = trigonal; SG = R-3m, No. 166; uncorrected energy = -11.03 eV/atom; total magnetization = 0.95 μB per cell; E_form (uncorrected) = -2.853 eV/atom
1.0
2.8810 1.6633 4.9169
-2.8810 1.6633 4.9169
0.0000 -3.3266 4.9169
Li Ti V O
3 3 1 8
Direct
0.0000 0.5000 0.5000 Li
0.5000 0.0000 0.5000 Li
0.5000 0.5000 0.0000 Li
0.0000 0.0000 0.5000 Ti
0.0000 0.5000 0.0000 Ti
0.5000 0.0000 0.0000 Ti
0.5000 0.5000 0.5000 V
0.2461 0.2461 0.2461 O
0.2465 0.7400 0.7400 O
0.2600 0.2600 0.7535 O
0.2600 0.7535 0.2600 O
0.7400 0.2465 0.7400 O
0.7400 0.7400 0.2465 O
0.7535 0.2600 0.2600 O
0.7539 0.7539 0.7539 O